Entry 1:
MgSbPtPb2 | PBE-GGA | relaxed

Values from the calculation:
For the electronic total energy, the calculation gives -2.996 eV per atom. As for the spin magnetization: 0.00 μB/f.u. The value obtained for the density is 7.3 g/cm3.

The structure in CIF format:
```
data_MgSbPtPb2
_space_group_name_H-M_alt 'P 4/m m m'
_space_group_IT_number 123
_space_group_name_Hall '-P 4 2'
_cell_length_a 5.800
_cell_length_b 5.800
_cell_length_c 5.126
_cell_angle_alpha 90.00
_cell_angle_beta 90.00
_cell_angle_gamma 90.00
loop_
_atom_site_label
_atom_site_type_symbol
_atom_site_fract_x
_atom_site_fract_y
_atom_site_fract_z
Mg1 Mg 0.000 0.000 0.000
Sb1 Sb 0.000 0.000 0.500
Pt1 Pt 0.500 0.500 0.000
Pb1 Pb 0.000 0.500 0.500
```

Entry 2:
CoAgAu3 | PBE-GGA | relaxed

Values from the calculation:
The value obtained for the energy above the lowest structure with this stoichiometry is 52.12 kJ/mol of atoms. As for the spin magnetization: 2.27 μB/f.u. As for the formation energy: 1.27 eV per atom. The value obtained for the density is 9.8 g/cm3.

The structure in CIF format:
```
data_CoAgAu3
_space_group_name_H-M_alt 'P m -3 m'
_space_group_IT_number 221
_space_group_name_Hall '-P 4 2 3'
_cell_length_a 5.051
_cell_length_b 5.051
_cell_length_c 5.051
_cell_angle_alpha 90.00
_cell_angle_beta 90.00
_cell_angle_gamma 90.00
loop_
_atom_site_label
_atom_site_type_symbol
_atom_site_fract_x
_atom_site_fract_y
_atom_site_fract_z
Co1 Co 0.000 0.000 0.000
Ag1 Ag 0.500 0.500 0.500
Au1 Au 0.000 0.500 0.500
```

Entry 3:
LiSbMo2 | PBE-GGA | relaxed

Values from the calculation:
For the electronic total energy, the calculation gives -6.132 eV per atom. As for the spin magnetization: 0.00 μB/f.u. The value obtained for the density is 7.7 g/cm3.

The structure in CIF format:
```
data_LiSbMo2
_space_group_name_H-M_alt 'P 4/m m m'
_space_group_IT_number 123
_space_group_name_Hall '-P 4 2'
_cell_length_a 2.849
_cell_length_b 2.849
_cell_length_c 8.545
_cell_angle_alpha 90.00
_cell_angle_beta 90.00
_cell_angle_gamma 90.00
loop_
_atom_site_label
_atom_site_type_symbol
_atom_site_fract_x
_atom_site_fract_y
_atom_site_fract_z
Li1 Li 0.000 0.000 0.000
Sb1 Sb 0.000 0.000 0.500
Mo1 Mo 0.500 0.500 0.241
```

Entry 4:
Rb4Pm3PuSe8 | PBE-GGA | relaxed

Values from the calculation:
For the electronic total energy, the calculation gives -5.426 eV per atom. As for the spin magnetization: 5.00 μB/f.u. The value obtained for the density is 5.2 g/cm3.

The structure in CIF format:
```
data_Rb4Pm3PuSe8
_space_group_name_H-M_alt 'R -3 m'
_space_group_IT_number 166
_space_group_name_Hall '-R 3 2"'
_cell_length_a 8.7010
_cell_length_b 8.7010
_cell_length_c 23.9940
_cell_angle_alpha 90.00
_cell_angle_beta 90.00
_cell_angle_gamma 120.00
loop_
_atom_site_label
_atom_site_type_symbol
_atom_site_fract_x
_atom_site_fract_y
_atom_site_fract_z
Rb1 Rb 0.0000 0.0000 0.0000
Rb2 Rb 0.0000 0.5000 0.0000
Pm1 Pm 0.0000 0.5000 0.5000
Pu1 Pu 0.0000 0.0000 0.5000
Se1 Se 0.0000 0.0000 0.2335
Se2 Se 0.0018 0.5009 0.2327
```

Entry 5:
In2TcW | PBE-GGA | relaxed

Values from the calculation:
The value obtained for the energy above the lowest structure with this stoichiometry is 38.24 kJ/mol of atoms. As for the spin magnetization: 0.00 μB/f.u. As for the formation energy: 0.56 eV per atom. The value obtained for the density is 11.7 g/cm3.

The structure in CIF format:
```
data_In2TcW
_space_group_name_H-M_alt 'C 1 2/m 1'
_space_group_IT_number 12
_space_group_name_Hall '-C 2y'
_cell_length_a 9.620
_cell_length_b 3.134
_cell_length_c 4.920
_cell_angle_alpha 90.00
_cell_angle_beta 102.56
_cell_angle_gamma 90.00
loop_
_atom_site_label
_atom_site_type_symbol
_atom_site_fract_x
_atom_site_fract_y
_atom_site_fract_z
In1 In 0.246 0.000 0.245
Tc1 Tc 0.000 0.500 0.000
W1 W 0.000 0.000 0.500
```

Entry 6:
BaNdNi4 | PBE-GGA | relaxed

Values from the calculation:
As for the spin magnetization: 0.00 μB/f.u. As for the formation energy: -0.03 eV per atom. The value obtained for the density is 8.2 g/cm3.

The structure in CIF format:
```
data_BaNdNi4
_space_group_name_H-M_alt 'F -4 3 m'
_space_group_IT_number 216
_space_group_name_Hall 'F -4 2 3'
_cell_length_a 7.470
_cell_length_b 7.470
_cell_length_c 7.470
_cell_angle_alpha 90.00
_cell_angle_beta 90.00
_cell_angle_gamma 90.00
loop_
_atom_site_label
_atom_site_type_symbol
_atom_site_fract_x
_atom_site_fract_y
_atom_site_fract_z
Ba1 Ba 0.000 0.000 0.000
Nd1 Nd 0.250 0.250 0.750
Ni1 Ni 0.124 0.124 0.376
```

Entry 7:
TaTe2As | PBE-GGA | relaxed

Values from the calculation:
For the electronic total energy, the calculation gives -5.614 eV per atom. As for the spin magnetization: 0.00 μB/f.u. The value obtained for the density is 8.2 g/cm3.

The structure in CIF format:
```
data_TaTe2As
_space_group_name_H-M_alt 'C m m 2'
_space_group_IT_number 35
_space_group_name_Hall 'C 2 -2'
_cell_length_a 3.803
_cell_length_b 4.941
_cell_length_c 11.047
_cell_angle_alpha 90.00
_cell_angle_beta 90.00
_cell_angle_gamma 90.00
loop_
_atom_site_label
_atom_site_type_symbol
_atom_site_fract_x
_atom_site_fract_y
_atom_site_fract_z
Ta1 Ta 0.000 0.000 0.000
Te1 Te 0.000 0.000 0.509
Te2 Te 0.000 0.500 0.194
As1 As 0.000 0.500 0.834
```

Entry 8:
InGa3Pd6 | PBE-GGA | relaxed

Values from the calculation:
As for the spin magnetization: 0.00 μB/f.u. As for the formation energy: -0.53 eV per atom. The value obtained for the density is 9.6 g/cm3.

The structure in CIF format:
```
data_InGa3Pd6
_space_group_name_H-M_alt 'C m c 21'
_space_group_IT_number 36
_space_group_name_Hall 'C 2c -2'
_cell_length_a 8.987
_cell_length_b 12.090
_cell_length_c 6.161
_cell_angle_alpha 90.00
_cell_angle_beta 90.00
_cell_angle_gamma 90.00
loop_
_atom_site_label
_atom_site_type_symbol
_atom_site_fract_x
_atom_site_fract_y
_atom_site_fract_z
In1 In 0.000 0.212 0.000
Ga1 Ga 0.000 0.439 0.291
Ga2 Ga 0.163 0.118 0.409
Pd1 Pd 0.000 0.032 0.725
Pd2 Pd 0.000 0.276 0.566
Pd3 Pd 0.204 0.460 0.585
Pd4 Pd 0.231 0.303 0.253
```